This record from Alexandria via LeMat-Bulk describes a relaxed Ho4HgAu3 crystal. The functional is GGA-PBE.

* E_tot: -4.323 eV per atom
* energy of formation from the pure elements: -0.767 eV per atom
* Fermi-level density of states: 6.06 states/eV/f.u.
* M_tot: 0.00 μB/atom

POSCAR file:
```
Ho4HgAu3
1.0
3.701 0.000 0.000
0.000 4.729 0.000
0.000 0.000 11.099
Au Ho Hg
3 4 1
direct
0.000 0.500 0.588
0.500 0.000 0.910
0.000 0.000 0.412
0.500 0.500 0.368
0.000 0.500 0.853
0.500 0.000 0.638
0.000 0.000 0.143
0.500 0.500 0.088
```